No. 1
Density functional theory data (PBE-GGA) for AsIr2Cl after structural relaxation.

Computed properties:
Formation energy from raw total energies ... 722 meV/atom
E ... -5.33 eV per atom
Energy above the most stable polymorph in this dataset ... 470 meV per atom

Lattice parameters (Å, degrees): 4.4376 4.4376 4.4376 60.00 60.00 60.00
Element x y z (fractional)
As: 0.0000 0.0000 0.0000
Ir: 0.2500 0.2500 0.2500
Ir: 0.7500 0.7500 0.7500
Cl: 0.5000 0.5000 0.5000

---

No. 2
Density functional theory data (PBE-GGA) for La3Nd2Tm6 after structural relaxation.

Computed properties:
E ... -4.46 eV per atom
DFT formation energy ... 190 meV/atom

Lattice parameters (Å, degrees): 6.1828 6.1828 11.6538 95.10 95.10 120.09
Element x y z (fractional)
La: 0.0000 0.0000 0.0000
La: 0.3359 0.6641 0.0000
La: 0.6641 0.3359 0.0000
Nd: 0.1664 0.8336 0.5000
Nd: 0.8336 0.1664 0.5000
Tm: 0.0851 0.4175 0.2525
Tm: 0.2504 0.2504 0.7479
Tm: 0.4175 0.0851 0.2525
Tm: 0.5825 0.9149 0.7475
Tm: 0.7496 0.7496 0.2521
Tm: 0.9149 0.5825 0.7475

---

No. 3
Density functional theory data (PBE-GGA) for LaMnTc after structural relaxation.

Computed properties:
E ... -7.52 eV per atom
DFT formation energy ... 636 meV/atom
Energy above the most stable polymorph in this dataset ... 546 meV per atom

Lattice parameters (Å, degrees): 3.0184 3.0184 7.3954 90.00 90.00 120.00
Element x y z (fractional)
La: 0.0000 0.0000 0.0000
Mn: 0.6667 0.3333 0.3900
Tc: 0.3333 0.6667 0.6306

---

No. 4
Density functional theory data (PBE-GGA) for Ac4GaN2 after structural relaxation.

Computed properties:
Formation energy from raw total energies ... -703 meV/atom
E ... -5.86 eV per atom

Lattice parameters (Å, degrees): 6.9578 6.9578 14.0465 90.00 90.00 146.32
Element x y z (fractional)
Ac: 0.0000 0.0000 0.0000
Ac: 0.0000 0.0000 0.5000
Ac: 0.2652 0.7348 0.6061
Ac: 0.2652 0.7348 0.8939
Ac: 0.4238 0.5762 0.2500
Ac: 0.5762 0.4238 0.7500
Ac: 0.7348 0.2652 0.1061
Ac: 0.7348 0.2652 0.3939
Ga: 0.1059 0.8941 0.2500
Ga: 0.8941 0.1059 0.7500
N: 0.3596 0.6404 0.0557
N: 0.3596 0.6404 0.4443
N: 0.6404 0.3596 0.5557
N: 0.6404 0.3596 0.9443

---

No. 5
Density functional theory data (PBE-GGA) for AlPW after structural relaxation.

Computed properties:
E ... -7.12 eV per atom
DFT formation energy ... 250 meV/atom

Lattice parameters (Å, degrees): 6.3351 6.3351 6.3351 40.66 40.66 40.66
Element x y z (fractional)
Al: 0.1340 0.1340 0.1340
Al: 0.8660 0.8660 0.8660
P: 0.2805 0.2805 0.2805
P: 0.7195 0.7195 0.7195
W: 0.4245 0.4245 0.4245
W: 0.5755 0.5755 0.5755

---

No. 6
Density functional theory data (PBE-GGA) for Mn3RhPb after structural relaxation.

Computed properties:
E ... -7.00 eV per atom
DFT formation energy ... 709 meV/atom
Energy above the most stable polymorph in this dataset ... 0 meV per atom

Lattice parameters (Å, degrees): 4.8409 4.8409 4.8409 90.00 90.00 90.00
Element x y z (fractional)
Mn: 0.0000 0.0000 0.5000
Mn: 0.0000 0.5000 0.0000
Mn: 0.5000 0.0000 0.0000
Rh: 0.0000 0.0000 0.0000
Pb: 0.5000 0.5000 0.5000

---

No. 7
Density functional theory data (PBE-GGA) for Ce5Ti2Se12 after structural relaxation.

Computed properties:
Formation energy from raw total energies ... -1562 meV/atom
E ... -6.15 eV per atom

Lattice parameters (Å, degrees): 8.9025 8.9025 9.1676 105.36 105.36 48.71
Element x y z (fractional)
Ce: 0.0000 0.0000 0.0000
Ce: 0.3008 0.3008 0.1503
Ce: 0.3146 0.3146 0.6575
Ce: 0.6854 0.6854 0.3425
Ce: 0.6992 0.6992 0.8497
Ti: 0.2527 0.7473 0.5000
Ti: 0.7473 0.2527 0.5000
Se: 0.0016 0.0016 0.3123
Se: 0.0838 0.5842 0.4139
Se: 0.1009 0.5997 0.9301
Se: 0.4003 0.8991 0.0699
Se: 0.4158 0.9162 0.5861
Se: 0.4961 0.4961 0.2934
Se: 0.5039 0.5039 0.7066
Se: 0.5842 0.0838 0.4139
Se: 0.5997 0.1009 0.9301
Se: 0.8991 0.4003 0.0699
Se: 0.9162 0.4158 0.5861
Se: 0.9984 0.9984 0.6877

---

No. 8
Density functional theory data (PBE-GGA) for LaThAl2 after structural relaxation.

Computed properties:
E ... -5.24 eV per atom
DFT formation energy ... -284 meV/atom
Energy above the most stable polymorph in this dataset ... 0 meV per atom

Lattice parameters (Å, degrees): 3.4716 3.4716 8.7102 90.00 90.00 90.00
Element x y z (fractional)
La: 0.0000 0.0000 0.0000
Th: 0.0000 0.0000 0.5000
Al: 0.5000 0.5000 0.2544
Al: 0.5000 0.5000 0.7456

---

No. 9
Density functional theory data (PBE-GGA) for ZnInC3 after structural relaxation.

Computed properties:
E ... -3.68 eV per atom
DFT formation energy ... 2656 meV/atom
Energy above the most stable polymorph in this dataset ... 0 meV per atom

Lattice parameters (Å, degrees): 4.0541 4.0541 4.0541 90.00 90.00 90.00
Element x y z (fractional)
Zn: 0.0000 0.0000 0.0000
In: 0.5000 0.5000 0.5000
C: 0.0000 0.0000 0.5000
C: 0.0000 0.5000 0.0000
C: 0.5000 0.0000 0.0000

---

No. 10
Density functional theory data (PBE-GGA) for CaNi2Cl after structural relaxation.

Computed properties:
Formation energy from raw total energies ... 352 meV/atom
E ... -3.50 eV per atom
Energy above the most stable polymorph in this dataset ... 755 meV per atom

Lattice parameters (Å, degrees): 4.5558 4.5558 4.5558 60.00 60.00 60.00
Element x y z (fractional)
Ca: 0.0000 0.0000 0.0000
Ni: 0.2500 0.2500 0.2500
Ni: 0.7500 0.7500 0.7500
Cl: 0.5000 0.5000 0.5000

---

No. 11
Density functional theory data (PBE-GGA) for NaLa2GaIr after structural relaxation.

Computed properties:
E ... -4.98 eV per atom
DFT formation energy ... -363 meV/atom

Lattice parameters (Å, degrees): 5.6400 5.6400 4.9231 90.00 90.00 90.00
Element x y z (fractional)
Na: 0.0000 0.0000 0.0000
La: 0.0000 0.5000 0.5000
La: 0.5000 0.0000 0.5000
Ga: 0.5000 0.5000 0.0000
Ir: 0.5000 0.5000 0.5000

---

No. 12
Density functional theory data (PBE-GGA) for Ba2LiCdCu after structural relaxation.

Computed properties:
E ... -2.17 eV per atom
DFT formation energy ... -21 meV/atom
Energy above the most stable polymorph in this dataset ... 0 meV per atom

Lattice parameters (Å, degrees): 6.2195 6.2195 4.8372 90.00 90.00 90.00
Element x y z (fractional)
Ba: 0.0000 0.5000 0.0000
Ba: 0.5000 0.0000 0.0000
Li: 0.0000 0.0000 0.5000
Cd: 0.5000 0.5000 0.5000
Cu: 0.0000 0.0000 0.0000

---

No. 13
Density functional theory data (PBE-GGA) for La2MnZnPd6 after structural relaxation.

Computed properties:
E ... -5.61 eV per atom
DFT formation energy ... -468 meV/atom

Lattice parameters (Å, degrees): 5.7424 5.7424 8.4233 90.02 109.90 119.99
Element x y z (fractional)
La: 0.0696 0.2846 0.3537
La: 0.9304 0.7154 0.6463
Mn: 0.5000 0.0000 0.5000
Zn: 0.5000 0.5000 0.0000
Pd: 0.0004 0.2507 0.7460
Pd: 0.9996 0.7493 0.2540
Pd: 0.4940 0.2504 0.7452
Pd: 0.4942 0.7446 0.7456
Pd: 0.5058 0.2554 0.2544
Pd: 0.5060 0.7496 0.2548

---

No. 14
Density functional theory data (PBE-GGA) for Er2AlSe after structural relaxation.

Computed properties:
Formation energy from raw total energies ... -983 meV/atom
E ... -5.07 eV per atom
Energy above the most stable polymorph in this dataset ... 112 meV per atom

Lattice parameters (Å, degrees): 7.9781 7.9781 7.9781 27.92 27.92 27.92
Element x y z (fractional)
Er: 0.2455 0.2455 0.2455
Er: 0.7545 0.7545 0.7545
Al: 0.0000 0.0000 0.0000
Se: 0.5000 0.5000 0.5000

---

No. 15
Density functional theory data (PBE-GGA) for SrMg2TaN4 after structural relaxation.

Computed properties:
Formation energy from raw total energies ... -824 meV/atom
E ... -7.08 eV per atom

Lattice parameters (Å, degrees): 7.4835 5.9625 5.5897 90.00 90.00 90.00
Element x y z (fractional)
Sr: 0.0000 0.1838 0.0000
Sr: 0.5000 0.8162 0.5000
Mg: 0.2474 0.3297 0.5133
Mg: 0.2526 0.6703 0.0133
Mg: 0.7474 0.6703 0.0133
Mg: 0.7526 0.3297 0.5133
Ta: 0.0000 0.8075 0.5198
Ta: 0.5000 0.1925 0.0198
N: 0.0000 0.1368 0.4693
N: 0.0000 0.7717 0.8666
N: 0.2080 0.6568 0.3845
N: 0.2920 0.3432 0.8845
N: 0.5000 0.2283 0.3666
N: 0.5000 0.8632 0.9693
N: 0.7080 0.3432 0.8845
N: 0.7920 0.6568 0.3845

---

No. 16
Density functional theory data (PBE-GGA) for CeScI6 after structural relaxation.

Computed properties:
Formation energy from raw total energies ... -1240 meV/atom
E ... -3.94 eV per atom
Energy above the most stable polymorph in this dataset ... 35 meV per atom

Lattice parameters (Å, degrees): 8.0359 8.0359 7.4533 98.17 98.17 124.71
Element x y z (fractional)
Ce: 0.0000 0.0000 0.0000
Sc: 0.5000 0.5000 0.5000
I: 0.1236 0.4167 0.2682
I: 0.2574 0.2574 0.7397
I: 0.4167 0.1236 0.2682
I: 0.5833 0.8764 0.7318
I: 0.7426 0.7426 0.2603
I: 0.8764 0.5833 0.7318

---

No. 17
Density functional theory data (PBE-GGA) for KBaLi2Cu after structural relaxation.

Computed properties:
E ... -1.90 eV per atom
DFT formation energy ... 286 meV/atom
Energy above the most stable polymorph in this dataset ... 86 meV per atom

Lattice parameters (Å, degrees): 5.3944 5.3944 5.9094 90.00 90.00 90.00
Element x y z (fractional)
K: 0.0000 0.0000 0.0000
Ba: 0.5000 0.5000 0.0000
Li: 0.0000 0.5000 0.5000
Li: 0.5000 0.0000 0.5000
Cu: 0.0000 0.0000 0.5000

---

No. 18
Density functional theory data (PBE-GGA) for LiPu2Bi2 after structural relaxation.

Computed properties:
E ... -7.53 eV per atom
DFT formation energy ... 140 meV/atom

Lattice parameters (Å, degrees): 7.5286 7.5286 7.5286 97.28 94.42 142.77
Element x y z (fractional)
Li: 0.2500 0.2500 0.0000
Li: 0.7500 0.7500 0.0000
Pu: 0.1082 0.5358 0.6441
Pu: 0.3918 0.0358 0.4276
Pu: 0.6082 0.9642 0.5724
Pu: 0.8918 0.4642 0.3559
Bi: 0.1285 0.2274 0.3558
Bi: 0.3715 0.7274 0.0989
Bi: 0.6285 0.2726 0.9011
Bi: 0.8715 0.7726 0.6442

---

No. 19
Density functional theory data (PBE-GGA) for IrC after structural relaxation.

Computed properties:
E ... -7.67 eV per atom
DFT formation energy ... 1371 meV/atom
Energy above the most stable polymorph in this dataset ... 913 meV per atom

Lattice parameters (Å, degrees): 2.8017 2.8017 7.4770 90.00 90.00 90.00
Element x y z (fractional)
Ir: 0.2500 0.2500 0.2014
Ir: 0.7500 0.7500 0.7986
C: 0.2500 0.2500 0.7321
C: 0.7500 0.7500 0.2679

---

No. 20
Density functional theory data (PBE-GGA) for Na5RuO6 after structural relaxation.

Computed properties:
Formation energy from raw total energies ... -1304 meV/atom
E ... -5.11 eV per atom

Lattice parameters (Å, degrees): 5.6893 5.6893 5.6413 100.25 100.25 119.59
Element x y z (fractional)
Na: 0.0000 0.0000 0.0000
Na: 0.1671 0.8329 0.5000
Na: 0.3282 0.6718 0.0000
Na: 0.6718 0.3282 0.0000
Na: 0.8329 0.1671 0.5000
Ru: 0.5000 0.5000 0.5000
O: 0.1493 0.4289 0.2837
O: 0.2958 0.2958 0.7052
O: 0.4289 0.1493 0.2837
O: 0.5711 0.8507 0.7163
O: 0.7042 0.7042 0.2948
O: 0.8507 0.5711 0.7163